No. 1
## KLiBe2 (PBE-GGA)

Data for a relaxed structure of KLiBe2.

Summary:
**Density of states at the Fermi level**: 0.29 states/eV per atom
**Spin magnetization**: 0.000 μB per cell
**Relative energy among the computed polymorphs**: 453 meV/atom

```
data_KLiBe2
_cell_length_a 9.076
_cell_length_b 2.610
_cell_length_c 6.772
_cell_angle_alpha 90.00
_cell_angle_beta 94.39
_cell_angle_gamma 90.00
_space_group_name_H-M_alt 'C 1 2/m 1'
_space_group_IT_number 12
loop_
_space_group_symop_operation_xyz
'x,y,z'
'-x,-y,-z'
'-x,y,-z'
'x,-y,z'
'x+1/2,y+1/2,z'
'-x+1/2,-y+1/2,-z'
'-x+1/2,y+1/2,-z'
'x+1/2,-y+1/2,z'
loop_
_atom_site_label
_atom_site_type_symbol
_atom_site_fract_x
_atom_site_fract_y
_atom_site_fract_z
_atom_site_occupancy
K1 K 0.000 0.000 0.000 1
Li1 Li 0.000 0.500 0.500 1
Be1 Be 0.239 0.000 0.622 1
```

=====

No. 2
## Ce6ZnPb (PBE-GGA)

Data for a relaxed structure of Ce6ZnPb.

Summary:
**Density of states at the Fermi level**: 3.12 states/eV per atom
**Uncorrected energy**: -41.7 eV/cell
**Spin magnetization**: 5.346 μB per cell

```
data_Ce6ZnPb
_cell_length_a 4.764
_cell_length_b 4.764
_cell_length_c 9.384
_cell_angle_alpha 90.00
_cell_angle_beta 90.00
_cell_angle_gamma 90.00
_space_group_name_H-M_alt 'P 4/m m m'
_space_group_IT_number 123
_space_group_name_Hall '-P 4 2'
loop_
_atom_site_label
_atom_site_type_symbol
_atom_site_fract_x
_atom_site_fract_y
_atom_site_fract_z
_atom_site_occupancy
Ce1 Ce 0.000 0.000 0.000 1
Ce2 Ce 0.000 0.000 0.500 1
Ce3 Ce 0.000 0.500 0.239 1
Zn1 Zn 0.500 0.500 0.000 1
Pb1 Pb 0.500 0.500 0.500 1
```

=====

No. 3
## Li2AlTeRh (PBE-GGA)

Data for a relaxed structure of Li2AlTeRh.

Summary:
**Density of states at the Fermi level**: 0.39 states/eV per atom
**Spin magnetization**: 0.000 μB per cell
**Formation energy from raw total energies**: 175 meV per atom

```
data_Li2AlTeRh
_cell_length_a 4.932
_cell_length_b 4.932
_cell_length_c 4.976
_cell_angle_alpha 90.00
_cell_angle_beta 90.00
_cell_angle_gamma 90.00
_space_group_name_H-M_alt 'P 4/m m m'
_space_group_IT_number 123
_space_group_name_Hall '-P 4 2'
loop_
_atom_site_label
_atom_site_type_symbol
_atom_site_fract_x
_atom_site_fract_y
_atom_site_fract_z
_atom_site_occupancy
Li1 Li 0.000 0.500 0.000 1
Al1 Al 0.000 0.000 0.500 1
Te1 Te 0.500 0.500 0.000 1
Rh1 Rh 0.500 0.500 0.500 1
```

=====

No. 4
## B5C7 (PBE-GGA)

Data for a relaxed structure of B5C7.

Summary:
**Density of states at the Fermi level**: 0.20 states/eV per atom
**Spin magnetization**: 0.000 μB per cell
**Relative energy among the computed polymorphs**: 54 meV/atom

```
data_B5C7
_cell_length_a 11.618
_cell_length_b 2.643
_cell_length_c 5.287
_cell_angle_alpha 90.00
_cell_angle_beta 102.54
_cell_angle_gamma 90.00
_space_group_name_H-M_alt 'C 1 m 1'
_space_group_IT_number 8
loop_
_space_group_symop_operation_xyz
'x,y,z'
'x,-y,z'
'x+1/2,y+1/2,z'
'x+1/2,-y+1/2,z'
loop_
_atom_site_label
_atom_site_type_symbol
_atom_site_fract_x
_atom_site_fract_y
_atom_site_fract_z
_atom_site_occupancy
B1 B 0.000 0.000 0.000 1
B2 B 0.004 0.000 0.575 1
B3 B 0.127 0.000 0.404 1
B4 B 0.257 0.500 0.677 1
B5 B 0.372 0.000 0.729 1
C1 C 0.109 0.000 0.856 1
C2 C 0.185 0.500 0.902 1
C3 C 0.189 0.500 0.381 1
C4 C 0.269 0.500 0.179 1
C5 C 0.350 0.000 0.218 1
C6 C 0.433 0.000 0.026 1
C7 C 0.433 0.000 0.489 1
```

=====

No. 5
## FeHgP3 (PBE-GGA)

Data for a relaxed structure of FeHgP3.

Summary:
**Density of states at the Fermi level**: 0.81 states/eV per atom
**Spin magnetization**: 0.000 μB per cell
**Relative energy among the computed polymorphs**: 0 meV/atom

```
data_FeHgP3
_cell_length_a 4.440
_cell_length_b 4.440
_cell_length_c 4.440
_cell_angle_alpha 90.00
_cell_angle_beta 90.00
_cell_angle_gamma 90.00
_space_group_name_H-M_alt 'P m -3 m'
_space_group_IT_number 221
_space_group_name_Hall '-P 4 2 3'
loop_
_atom_site_label
_atom_site_type_symbol
_atom_site_fract_x
_atom_site_fract_y
_atom_site_fract_z
_atom_site_occupancy
Fe1 Fe 0.000 0.000 0.000 1
Hg1 Hg 0.500 0.500 0.500 1
P1 P 0.000 0.000 0.500 1
```

=====

No. 6
## ZrTaIn2 (PBE-GGA)

Data for a relaxed structure of ZrTaIn2.

Summary:
**Density of states at the Fermi level**: 0.38 states/eV per atom
**Spin magnetization**: 0.000 μB per cell
**Relative energy among the computed polymorphs**: 0 meV/atom

```
data_ZrTaIn2
_cell_length_a 4.317
_cell_length_b 4.317
_cell_length_c 8.919
_cell_angle_alpha 90.00
_cell_angle_beta 90.00
_cell_angle_gamma 90.00
_space_group_name_H-M_alt 'I 4/m m m'
_space_group_IT_number 139
_space_group_name_Hall '-I 4 2'
loop_
_atom_site_label
_atom_site_type_symbol
_atom_site_fract_x
_atom_site_fract_y
_atom_site_fract_z
_atom_site_occupancy
Zr1 Zr 0.000 0.000 0.000 1
Ta1 Ta 0.000 0.000 0.500 1
In1 In 0.000 0.500 0.250 1
```

=====

No. 7
## Fe2HgSe (PBE-GGA)

Data for a relaxed structure of Fe2HgSe.

Summary:
**Density of states at the Fermi level**: 0.97 states/eV per atom
**Spin magnetization**: 10.608 μB per cell
**Formation energy from raw total energies**: 330 meV per atom

```
data_Fe2HgSe
_cell_length_a 2.913
_cell_length_b 4.522
_cell_length_c 10.720
_cell_angle_alpha 90.00
_cell_angle_beta 90.00
_cell_angle_gamma 90.00
_space_group_name_H-M_alt 'I m m 2'
_space_group_IT_number 44
loop_
_space_group_symop_operation_xyz
'x,y,z'
'-x,-y,z'
'-x,y,z'
'x,-y,z'
'x+1/2,y+1/2,z+1/2'
'-x+1/2,-y+1/2,z+1/2'
'-x+1/2,y+1/2,z+1/2'
'x+1/2,-y+1/2,z+1/2'
loop_
_atom_site_label
_atom_site_type_symbol
_atom_site_fract_x
_atom_site_fract_y
_atom_site_fract_z
_atom_site_occupancy
Fe1 Fe 0.000 0.000 0.000 1
Fe2 Fe 0.000 0.500 0.310 1
Hg1 Hg 0.000 0.500 0.846 1
Se1 Se 0.000 0.000 0.622 1
```

=====

No. 8
## Ac2LaIn2 (PBE-GGA)

Data for a relaxed structure of Ac2LaIn2.

Summary:
**Density of states at the Fermi level**: 0.79 states/eV per atom
**Spin magnetization**: 0.000 μB per cell
**Relative energy among the computed polymorphs**: 0 meV/atom

```
data_Ac2LaIn2
_cell_length_a 13.104
_cell_length_b 5.277
_cell_length_c 12.033
_cell_angle_alpha 90.00
_cell_angle_beta 118.94
_cell_angle_gamma 90.00
_space_group_name_H-M_alt 'C 1 2/m 1'
_space_group_IT_number 12
loop_
_space_group_symop_operation_xyz
'x,y,z'
'-x,-y,-z'
'-x,y,-z'
'x,-y,z'
'x+1/2,y+1/2,z'
'-x+1/2,-y+1/2,-z'
'-x+1/2,y+1/2,-z'
'x+1/2,-y+1/2,z'
loop_
_atom_site_label
_atom_site_type_symbol
_atom_site_fract_x
_atom_site_fract_y
_atom_site_fract_z
_atom_site_occupancy
Ac1 Ac 0.016 0.000 0.180 1
Ac2 Ac 0.187 0.000 0.599 1
La1 La 0.204 0.500 0.849 1
In1 In 0.047 0.500 0.409 1
In2 In 0.129 0.500 0.076 1
```